[1]
Cu3GeS: relaxed, GGA-PBE.

Lattice parameters (Å, degrees): 4.5266 4.5266 4.5266 90.00 90.00 90.00
Space group Pm-3m (No. 221)
Asymmetric unit:
Cu1 0.0000 0.0000 0.5000 (multiplicity 3)
Ge1 0.0000 0.0000 0.0000 (multiplicity 1)
S1 0.5000 0.5000 0.5000 (multiplicity 1)

Calculated values
- offset from the most stable computed form (eV/atom) = 0.366
- volume (A^3/atom) = 18.55
- Fermi-level density of states (states/eV per cell) = 6.4
- energy relative to the elements, uncorrected (meV per atom) = 803
- total magnetization (μB/f.u.) = 0.000
- density (g cm⁻³) = 5.29

***

[2]
Mg3Si4: relaxed, GGA-PBE.

Lattice parameters (Å, degrees): 5.3988 7.4249 7.6171 107.37 104.14 105.80
Space group P1 (No. 1)
Asymmetric unit:
Mg1 0.0000 0.0000 0.0000 (multiplicity 1)
Mg2 0.0437 0.4589 0.4826 (multiplicity 1)
Mg3 0.4963 0.4781 0.8695 (multiplicity 1)
Mg4 0.5735 0.9812 0.2121 (multiplicity 1)
Mg5 0.6797 0.7169 0.5464 (multiplicity 1)
Mg6 0.7890 0.1908 0.7036 (multiplicity 1)
Si1 0.0164 0.8726 0.3204 (multiplicity 1)
Si2 0.0604 0.6158 0.8775 (multiplicity 1)
Si3 0.1897 0.0353 0.6760 (multiplicity 1)
Si4 0.2257 0.6198 0.2096 (multiplicity 1)
Si5 0.3582 0.2168 0.4496 (multiplicity 1)
Si6 0.4090 0.8346 0.7947 (multiplicity 1)
Si7 0.4815 0.3736 0.2187 (multiplicity 1)
Si8 0.8194 0.3187 0.0829 (multiplicity 1)

Calculated values
- offset from the most stable computed form (eV/atom) = 0.050
- volume (A^3/atom) = 18.73
- Fermi-level density of states (states/eV per cell) = 4.1
- energy relative to the elements, uncorrected (meV per atom) = 102
- total magnetization (μB/f.u.) = 0.000
- density (g cm⁻³) = 2.35

***

[3]
Nd5Tm4Tl4: relaxed, GGA-PBE.

Lattice parameters (Å, degrees): 12.6596 12.6596 5.0118 90.00 90.00 90.00
Space group I4/m (No. 87)
Asymmetric unit:
Nd1 0.0000 0.0000 0.0000 (multiplicity 2)
Nd2 0.1076 0.1944 0.5000 (multiplicity 8)
Tm1 0.0942 0.4032 0.0000 (multiplicity 8)
Tl1 0.0916 0.7594 0.0000 (multiplicity 8)

Calculated values
- volume (A^3/atom) = 30.89
- Fermi-level density of states (states/eV per cell) = 27.3
- total magnetization (μB/f.u.) = 0.000
- VASP energy (eV per atom) = -4.18
- density (g cm⁻³) = 9.16

***

[4]
Tb4Pm5Sm2: relaxed, GGA-PBE.

Lattice parameters (Å, degrees): 3.5376 9.2013 23.5225 90.00 90.00 90.00
Space group Immm (No. 71)
Asymmetric unit:
Tb1 0.0000 0.0000 0.0966 (multiplicity 4)
Tb2 0.0000 0.3096 0.5000 (multiplicity 4)
Pm1 0.0000 0.1992 0.3546 (multiplicity 8)
Pm2 0.0000 0.5000 0.0000 (multiplicity 2)
Sm1 0.0000 0.0000 0.2311 (multiplicity 4)

Calculated values
- offset from the most stable computed form (eV/atom) = 0.056
- volume (A^3/atom) = 34.80
- Fermi-level density of states (states/eV per cell) = 33.1
- total magnetization (μB/f.u.) = 0.000
- density (g cm⁻³) = 7.21

***

[5]
NaSr2DyBr8: relaxed, GGA-PBE.

Lattice parameters (Å, degrees): 6.8639 9.1590 7.0605 90.00 90.57 90.00
Space group P2/m (No. 10)
Asymmetric unit:
Na1 0.0000 0.0000 0.0000 (multiplicity 1)
Sr1 0.5000 0.2452 0.5000 (multiplicity 2)
Dy1 0.0000 0.5000 0.0000 (multiplicity 1)
Br1 0.2161 0.2734 0.8364 (multiplicity 4)
Br2 0.2588 0.5000 0.3189 (multiplicity 2)
Br3 0.2716 0.0000 0.3232 (multiplicity 2)

Calculated values
- volume (A^3/atom) = 36.99
- Fermi-level density of states (states/eV per cell) = 0.0
- energy relative to the elements, uncorrected (meV per atom) = -1924
- total magnetization (μB/f.u.) = 0.000
- density (g cm⁻³) = 3.74

***

[6]
Ti2NiPd6: relaxed, GGA-PBE.

Lattice parameters (Å, degrees): 8.2217 8.2217 3.9499 90.00 90.00 90.00
Space group P4_2/mnm (No. 136)
Asymmetric unit:
Ti1 0.1675 0.1675 0.0000 (multiplicity 4)
Ni1 0.0000 0.0000 0.5000 (multiplicity 2)
Pd1 0.0017 0.3265 0.5000 (multiplicity 8)
Pd2 0.1545 0.8455 0.0000 (multiplicity 4)

Calculated values
- offset from the most stable computed form (eV/atom) = 0.012
- volume (A^3/atom) = 14.83
- Fermi-level density of states (states/eV per cell) = 13.6
- total magnetization (μB/f.u.) = 0.000
- density (g cm⁻³) = 9.86

***

[7]
CuReSe2: relaxed, GGA-PBE.

Lattice parameters (Å, degrees): 3.1984 3.1984 22.4829 90.00 90.00 120.00
Space group R-3m (No. 166, hexagonal axes)
Asymmetric unit:
Cu1 0.0000 0.0000 0.0000 (multiplicity 3)
Re1 0.0000 0.0000 0.5000 (multiplicity 3)
Se1 0.0000 0.0000 0.2474 (multiplicity 6)

Calculated values
- offset from the most stable computed form (eV/atom) = 0.056
- volume (A^3/atom) = 16.60
- Fermi-level density of states (states/eV per cell) = 8.3
- energy relative to the elements, uncorrected (meV per atom) = 235
- total magnetization (μB/f.u.) = 0.000
- density (g cm⁻³) = 10.20

***

[8]
Rb2ZrTl: relaxed, GGA-PBE.

Lattice parameters (Å, degrees): 8.8991 8.8991 8.8991 90.00 90.00 90.00
Space group Fm-3m (No. 225)
Asymmetric unit:
Rb1 0.2500 0.2500 0.2500 (multiplicity 8)
Zr1 0.0000 0.0000 0.0000 (multiplicity 4)
Tl1 0.0000 0.0000 0.5000 (multiplicity 4)

Calculated values
- offset from the most stable computed form (eV/atom) = 0.238
- volume (A^3/atom) = 44.05
- Fermi-level density of states (states/eV per cell) = 33.0
- total magnetization (μB/f.u.) = 3.588
- density (g cm⁻³) = 4.40

***

[9]
PrHfAg2: relaxed, GGA-PBE.

Lattice parameters (Å, degrees): 3.4698 3.4698 7.6719 90.00 90.00 90.00
Space group P4/mmm (No. 123)
Asymmetric unit:
Pr1 0.0000 0.0000 0.0000 (multiplicity 1)
Hf1 0.0000 0.0000 0.5000 (multiplicity 1)
Ag1 0.5000 0.5000 0.2918 (multiplicity 2)

Calculated values
- volume (A^3/atom) = 23.09
- Fermi-level density of states (states/eV per cell) = 3.8
- total magnetization (μB/f.u.) = 0.836
- VASP energy (eV per atom) = -5.15
- density (g cm⁻³) = 9.62

***

[10]
Bi3Pb4S8: relaxed, GGA-PBE.

Lattice parameters (Å, degrees): 11.6493 11.7552 8.2794 90.00 134.14 90.00
Space group C2/m (No. 12)
Asymmetric unit:
Bi1 0.0000 0.0000 0.0000 (multiplicity 2)
Bi2 0.2500 0.2500 0.5000 (multiplicity 4)
Pb1 0.0000 0.0000 0.5000 (multiplicity 2)
Pb2 0.0000 0.5000 0.0000 (multiplicity 2)
Pb3 0.2500 0.2500 0.0000 (multiplicity 4)
S1 0.0000 0.2450 0.0000 (multiplicity 4)
S2 0.0000 0.2517 0.5000 (multiplicity 4)
S3 0.2428 0.0000 0.9975 (multiplicity 4)
S4 0.2487 0.0000 0.4873 (multiplicity 4)

Calculated values
- volume (A^3/atom) = 27.12
- Fermi-level density of states (states/eV per cell) = 6.7
- energy relative to the elements, uncorrected (meV per atom) = -364
- total magnetization (μB/f.u.) = 0.000
- density (g cm⁻³) = 6.99

***

[11]
MgAs2PbO8: relaxed, GGA-PBE.

Lattice parameters (Å, degrees): 5.5214 5.5214 6.2799 90.00 90.00 120.00
Space group P-3m1 (No. 164)
Asymmetric unit:
Mg1 0.0000 0.0000 0.0000 (multiplicity 1)
As1 0.3333 0.6667 0.3176 (multiplicity 2)
Pb1 0.0000 0.0000 0.5000 (multiplicity 1)
O1 0.1610 0.3220 0.2261 (multiplicity 6)
O2 0.3333 0.6667 0.5826 (multiplicity 2)

Calculated values
- volume (A^3/atom) = 13.82
- Fermi-level density of states (states/eV per cell) = 5.7
- energy relative to the elements, uncorrected (meV per atom) = -1251
- total magnetization (μB/f.u.) = 0.001
- density (g cm⁻³) = 5.10

***

[12]
LiPrCdPt: relaxed, GGA-PBE.

Lattice parameters (Å, degrees): 6.9628 6.9628 6.9628 90.00 90.00 90.00
Space group F-43m (No. 216)
Asymmetric unit:
Li1 0.0000 0.0000 0.0000 (multiplicity 4)
Pr1 0.2500 0.2500 0.7500 (multiplicity 4)
Cd1 0.2500 0.2500 0.2500 (multiplicity 4)
Pt1 0.0000 0.0000 0.5000 (multiplicity 4)

Calculated values
- volume (A^3/atom) = 21.10
- Fermi-level density of states (states/eV per cell) = 14.3
- total magnetization (μB/f.u.) = 0.000
- VASP energy (eV per atom) = -3.97
- density (g cm⁻³) = 8.96

***

[13]
Y2NbPd9: relaxed, GGA-PBE.

Lattice parameters (Å, degrees): 4.0732 4.0732 12.2582 90.00 90.00 90.00
Space group P4/mmm (No. 123)
Asymmetric unit:
Y1 0.0000 0.0000 0.1668 (multiplicity 2)
Nb1 0.0000 0.0000 0.5000 (multiplicity 1)
Pd1 0.0000 0.5000 0.0000 (multiplicity 2)
Pd2 0.0000 0.5000 0.3465 (multiplicity 4)
Pd3 0.5000 0.5000 0.1736 (multiplicity 2)
Pd4 0.5000 0.5000 0.5000 (multiplicity 1)

Calculated values
- volume (A^3/atom) = 16.95
- Fermi-level density of states (states/eV per cell) = 1.4
- total magnetization (μB/f.u.) = 0.000
- VASP energy (eV per atom) = -6.54
- density (g cm⁻³) = 10.03

***

[14]
LiUSe: relaxed, GGA-PBE.

Lattice parameters (Å, degrees): 3.7832 3.7832 27.0975 90.00 90.00 120.00
Space group R-3m (No. 166, hexagonal axes)
Asymmetric unit:
Li1 0.0000 0.0000 0.1976 (multiplicity 6)
U1 0.0000 0.0000 0.3584 (multiplicity 6)
Se1 0.0000 0.0000 0.0986 (multiplicity 6)

Calculated values
- volume (A^3/atom) = 18.66
- Fermi-level density of states (states/eV per cell) = 18.5
- energy relative to the elements, uncorrected (meV per atom) = -925
- total magnetization (μB/f.u.) = 0.001
- density (g cm⁻³) = 9.61

***

[15]
Tb4TePtSe2: relaxed, GGA-PBE.

Lattice parameters (Å, degrees): 7.3232 4.0993 7.3520 90.00 108.75 90.00
Space group P2/m (No. 10)
Asymmetric unit:
Tb1 0.2358 0.0000 0.2239 (multiplicity 2)
Tb2 0.2603 0.5000 0.7695 (multiplicity 2)
Te1 0.0000 0.0000 0.5000 (multiplicity 1)
Pt1 0.0000 0.5000 0.0000 (multiplicity 1)
Se1 0.5000 0.0000 0.0000 (multiplicity 1)
Se2 0.5000 0.5000 0.5000 (multiplicity 1)

Calculated values
- volume (A^3/atom) = 26.12
- Fermi-level density of states (states/eV per cell) = 4.8
- energy relative to the elements, uncorrected (meV per atom) = -1506
- total magnetization (μB/f.u.) = 0.000
- density (g cm⁻³) = 8.87

***

[16]
AlTcSb2: relaxed, GGA-PBE.

Lattice parameters (Å, degrees): 3.4820 5.0648 9.0747 90.00 90.00 90.00
Space group Imm2 (No. 44)
Asymmetric unit:
Al1 0.0000 0.0000 0.0000 (multiplicity 2)
Tc1 0.0000 0.5000 0.7198 (multiplicity 2)
Sb1 0.0000 0.0000 0.4629 (multiplicity 2)
Sb2 0.0000 0.5000 0.2407 (multiplicity 2)

Calculated values
- volume (A^3/atom) = 20.00
- Fermi-level density of states (states/eV per cell) = 5.7
- energy relative to the elements, uncorrected (meV per atom) = 363
- total magnetization (μB/f.u.) = 0.000
- density (g cm⁻³) = 7.65

***

[17]
Li2InFe: relaxed, GGA-PBE.

Lattice parameters (Å, degrees): 3.8237 3.8237 4.4243 90.00 90.00 90.00
Space group P4/mmm (No. 123)
Asymmetric unit:
Li1 0.0000 0.5000 0.0000 (multiplicity 2)
In1 0.0000 0.0000 0.5000 (multiplicity 1)
Fe1 0.5000 0.5000 0.5000 (multiplicity 1)

Calculated values
- volume (A^3/atom) = 16.17
- Fermi-level density of states (states/eV per cell) = 3.3
- total magnetization (μB/f.u.) = 2.333
- VASP energy (eV per atom) = -3.67
- density (g cm⁻³) = 4.74

***

[18]
HfZr2CuH: relaxed, GGA-PBE.

Lattice parameters (Å, degrees): 4.4174 4.4174 4.1560 90.00 90.00 90.00
Space group P4/mmm (No. 123)
Asymmetric unit:
Hf1 0.0000 0.0000 0.0000 (multiplicity 1)
Zr1 0.0000 0.5000 0.5000 (multiplicity 2)
Cu1 0.5000 0.5000 0.0000 (multiplicity 1)
H1 0.5000 0.5000 0.5000 (multiplicity 1)

Calculated values
- offset from the most stable computed form (eV/atom) = 0.022
- volume (A^3/atom) = 16.22
- Fermi-level density of states (states/eV per cell) = 4.3
- total magnetization (μB/f.u.) = 0.000
- density (g cm⁻³) = 8.71

***

[19]
SmPd7Au4: relaxed, GGA-PBE.

Lattice parameters (Å, degrees): 4.9792 5.8315 7.6752 101.86 108.66 90.07
Space group P-1 (No. 2)
Asymmetric unit:
Sm1 0.0000 0.0000 0.0000 (multiplicity 1)
Pd1 0.0000 0.5000 0.0000 (multiplicity 1)
Pd2 0.0011 0.6672 0.6678 (multiplicity 2)
Pd3 0.4944 0.9181 0.6665 (multiplicity 2)
Pd4 0.4999 0.2562 0.0001 (multiplicity 2)
Au1 0.0039 0.1734 0.6619 (multiplicity 2)
Au2 0.4939 0.5779 0.3303 (multiplicity 2)

Calculated values
- offset from the most stable computed form (eV/atom) = 0.000
- volume (A^3/atom) = 17.17
- Fermi-level density of states (states/eV per cell) = 3.6
- total magnetization (μB/f.u.) = 0.000
- density (g cm⁻³) = 13.56

***

[20]
NaZnBi2: relaxed, GGA-PBE.

Lattice parameters (Å, degrees): 3.6742 3.6742 28.5246 90.00 90.00 120.00
Space group R-3m (No. 166, hexagonal axes)
Asymmetric unit:
Na1 0.0000 0.0000 0.0000 (multiplicity 3)
Zn1 0.0000 0.0000 0.5000 (multiplicity 3)
Bi1 0.0000 0.0000 0.2395 (multiplicity 6)

Calculated values
- volume (A^3/atom) = 27.79
- Fermi-level density of states (states/eV per cell) = 2.0
- total magnetization (μB/f.u.) = 0.000
- VASP energy (eV per atom) = -2.64
- density (g cm⁻³) = 7.56